Li4Cd5In after structural relaxation. Source: the Alexandria database, functional PBE.

Cell: 3.5055 3.5055 16.0739 Å, 90.00 90.00 90.00°
Space group P4/mmm (No. 123)
Asymmetric unit:
Li (0.0000, 0.0000, 0.0964) (multiplicity 2)
Li (0.0000, 0.0000, 0.2908) (multiplicity 2)
Cd (0.5000, 0.5000, 0.0000) (multiplicity 1)
Cd (0.5000, 0.5000, 0.1924) (multiplicity 2)
Cd (0.5000, 0.5000, 0.3818) (multiplicity 2)
In (0.0000, 0.0000, 0.5000) (multiplicity 1)

Calculated density (g/cm3): 5.92
Energy of formation (eV per atom): -0.203
Energy (eV/f.u.): -17.002